Entry 1:
# LiTmGa GGA-PBE relaxed
data_LiTmGa
_space_group_name_H-M_alt 'P -6 2 m'
_space_group_IT_number 189
_space_group_name_Hall 'P -6 -2'
_cell_length_a 6.8154
_cell_length_b 6.8154
_cell_length_c 4.5801
_cell_angle_alpha 90.00
_cell_angle_beta 90.00
_cell_angle_gamma 120.00
loop_
_atom_site_label
_atom_site_fract_x
_atom_site_fract_y
_atom_site_fract_z
Li1 0.0000 0.2279 0.0000
Tm1 0.0000 0.5702 0.5000
Ga1 0.0000 0.0000 0.5000
Ga2 0.3333 0.6667 0.0000
# Relative energy among the computed polymorphs = 0.00 eV/f.u.
# ΔE_f = -0.3965 eV/atom
# Calculated volume = 20.47 Å³/atom
# M_tot = 0.00 μB per atom

Entry 2:
# Tb5PmGa4 GGA-PBE relaxed
data_Tb5PmGa4
_space_group_name_H-M_alt 'C 1 2/m 1'
_space_group_IT_number 12
_space_group_name_Hall '-C 2y'
_cell_length_a 17.4352
_cell_length_b 3.7191
_cell_length_c 8.8006
_cell_angle_alpha 90.00
_cell_angle_beta 97.16
_cell_angle_gamma 90.00
loop_
_atom_site_label
_atom_site_fract_x
_atom_site_fract_y
_atom_site_fract_z
Tb1 0.0000 0.0000 0.0000
Tb2 0.1500 0.5000 0.2760
Tb3 0.1878 0.5000 0.8394
Pm1 0.0000 0.0000 0.5000
Ga1 0.0230 0.5000 0.7615
Ga2 0.1876 0.0000 0.5538
# ΔE_f = -0.2764 eV/atom
# Calculated volume = 28.31 Å³/atom
# M_tot = 0.00 μB per atom

Entry 3:
# TbYHf GGA-PBE relaxed
data_TbYHf
_space_group_name_H-M_alt 'P -6 m 2'
_space_group_IT_number 187
_space_group_name_Hall 'P -6 2'
_cell_length_a 5.3568
_cell_length_b 5.3568
_cell_length_c 3.3869
_cell_angle_alpha 90.00
_cell_angle_beta 90.00
_cell_angle_gamma 120.00
loop_
_atom_site_label
_atom_site_fract_x
_atom_site_fract_y
_atom_site_fract_z
Tb1 0.0000 0.0000 0.0000
Y1 0.3333 0.6667 0.5000
Hf1 0.6667 0.3333 0.5000
# Relative energy among the computed polymorphs = 0.31 eV/f.u.
# ΔE_f = 0.2207 eV/atom
# Calculated volume = 28.06 Å³/atom
# M_tot = 0.08 μB per atom

Entry 4:
# Ca2MoOs GGA-PBE relaxed
data_Ca2MoOs
_space_group_name_H-M_alt 'P 4/m m m'
_space_group_IT_number 123
_space_group_name_Hall '-P 4 2'
_cell_length_a 2.8400
_cell_length_b 2.8400
_cell_length_c 9.8555
_cell_angle_alpha 90.00
_cell_angle_beta 90.00
_cell_angle_gamma 90.00
loop_
_atom_site_label
_atom_site_fract_x
_atom_site_fract_y
_atom_site_fract_z
Ca1 0.0000 0.0000 0.2362
Mo1 0.5000 0.5000 0.5000
Os1 0.5000 0.5000 0.0000
# Relative energy among the computed polymorphs = 2.13 eV/f.u.
# ΔE_f = 0.7797 eV/atom
# Calculated volume = 19.87 Å³/atom
# M_tot = 0.00 μB per atom

Entry 5:
# Y8GeSb3Te4 GGA-PBE relaxed
data_Y8GeSb3Te4
_space_group_name_H-M_alt 'R -3 m'
_space_group_IT_number 166
_space_group_name_Hall '-R 3 2"'
_cell_length_a 8.7136
_cell_length_b 8.7136
_cell_length_c 21.4472
_cell_angle_alpha 90.00
_cell_angle_beta 90.00
_cell_angle_gamma 120.00
loop_
_atom_site_label
_atom_site_fract_x
_atom_site_fract_y
_atom_site_fract_z
Y1 0.0000 0.0000 0.2462
Y2 0.0140 0.5070 0.2433
Ge1 0.0000 0.0000 0.5000
Sb1 0.0000 0.5000 0.5000
Te1 0.0000 0.0000 0.0000
Te2 0.0000 0.5000 0.0000
# Formation energy from raw total energies = -1278 meV/atom
# Calculated volume = 29.38 Å³/atom
# M_tot = 0.00 μB per atom

Entry 6:
# TeOs8 GGA-PBE relaxed
data_TeOs8
_space_group_name_H-M_alt 'I 4/m m m'
_space_group_IT_number 139
_space_group_name_Hall '-I 4 2'
_cell_length_a 8.3437
_cell_length_b 8.3437
_cell_length_c 3.9392
_cell_angle_alpha 90.00
_cell_angle_beta 90.00
_cell_angle_gamma 90.00
loop_
_atom_site_label
_atom_site_fract_x
_atom_site_fract_y
_atom_site_fract_z
Te1 0.0000 0.0000 0.0000
Os1 0.0000 0.3440 0.0000
Os2 0.1785 0.1785 0.5000
# Formation energy from raw total energies = 399 meV/atom
# Calculated volume = 15.24 Å³/atom
# M_tot = 0.00 μB per atom

Entry 7:
# KLiNpTe3 GGA-PBE relaxed
data_KLiNpTe3
_space_group_name_H-M_alt 'P 1 21/m 1'
_space_group_IT_number 11
_space_group_name_Hall '-P 2yb'
_cell_length_a 9.5984
_cell_length_b 4.5175
_cell_length_c 10.2023
_cell_angle_alpha 90.00
_cell_angle_beta 106.95
_cell_angle_gamma 90.00
loop_
_atom_site_label
_atom_site_fract_x
_atom_site_fract_y
_atom_site_fract_z
K1 0.2049 0.2500 0.2537
Li1 0.0810 0.2500 0.5948
Np1 0.3212 0.7500 0.8464
Te1 0.1171 0.2500 0.8739
Te2 0.2204 0.7500 0.5403
Te3 0.4619 0.7500 0.1604
# Formation energy from raw total energies = -865 meV/atom
# Calculated volume = 35.26 Å³/atom
# M_tot = 0.50 μB per atom

Entry 8:
# SmHoCuRh GGA-PBE relaxed
data_SmHoCuRh
_space_group_name_H-M_alt 'A m m 2'
_space_group_IT_number 38
_space_group_name_Hall 'A 2 -2'
_cell_length_a 4.4002
_cell_length_b 3.8126
_cell_length_c 10.4552
_cell_angle_alpha 90.00
_cell_angle_beta 90.00
_cell_angle_gamma 90.00
loop_
_atom_site_label
_atom_site_fract_x
_atom_site_fract_y
_atom_site_fract_z
Sm1 0.0000 0.0000 0.0000
Ho1 0.5000 0.0000 0.2778
Cu1 0.5000 0.0000 0.5677
Rh1 0.0000 0.0000 0.7235
# Relative energy among the computed polymorphs = 0.00 eV/f.u.
# ΔE_f = -0.5493 eV/atom
# Calculated volume = 21.92 Å³/atom
# M_tot = 0.00 μB per atom

Entry 9:
# IrRh5 GGA-PBE relaxed
data_IrRh5
_space_group_name_H-M_alt 'C 1 2/m 1'
_space_group_IT_number 12
_space_group_name_Hall '-C 2y'
_cell_length_a 8.6022
_cell_length_b 3.8418
_cell_length_c 5.4488
_cell_angle_alpha 90.00
_cell_angle_beta 108.47
_cell_angle_gamma 90.00
loop_
_atom_site_label
_atom_site_fract_x
_atom_site_fract_y
_atom_site_fract_z
Ir1 0.0000 0.0000 0.0000
Rh1 0.0000 0.0000 0.5000
Rh2 0.1646 0.5000 0.3313
Rh3 0.1670 0.5000 0.8345
# Relative energy among the computed polymorphs = 0.06 eV/f.u.
# ΔE_f = 0.0075 eV/atom
# Calculated volume = 14.23 Å³/atom
# M_tot = 0.00 μB per atom

Entry 10:
# Tb16Pr6Nd7 GGA-PBE relaxed
data_Tb16Pr6Nd7
_space_group_name_H-M_alt 'F m -3 m'
_space_group_IT_number 225
_space_group_name_Hall '-F 4 2 3'
_cell_length_a 16.0332
_cell_length_b 16.0332
_cell_length_c 16.0332
_cell_angle_alpha 90.00
_cell_angle_beta 90.00
_cell_angle_gamma 90.00
loop_
_atom_site_label
_atom_site_fract_x
_atom_site_fract_y
_atom_site_fract_z
Tb1 0.1291 0.1291 0.1291
Tb2 0.1514 0.1514 0.3486
Pr1 0.0000 0.0000 0.2654
Nd1 0.0000 0.0000 0.0000
Nd2 0.0000 0.2500 0.2500
# ΔE_f = 0.2262 eV/atom
# Calculated volume = 35.53 Å³/atom
# M_tot = 0.00 μB per atom

Entry 11:
# TbSm8Er6 GGA-PBE relaxed
data_TbSm8Er6
_space_group_name_H-M_alt 'R -3'
_space_group_IT_number 148
_space_group_name_Hall '-R 3'
_cell_length_a 9.0553
_cell_length_b 9.0553
_cell_length_c 20.7452
_cell_angle_alpha 90.00
_cell_angle_beta 90.00
_cell_angle_gamma 120.00
loop_
_atom_site_label
_atom_site_fract_x
_atom_site_fract_y
_atom_site_fract_z
Tb1 0.0000 0.0000 0.0000
Sm1 0.0000 0.0000 0.4227
Sm2 0.0811 0.5561 0.8070
Er1 0.0494 0.2446 0.7057
# ΔE_f = 0.1290 eV/atom
# Calculated volume = 32.74 Å³/atom
# M_tot = 0.00 μB per atom

Entry 12:
# Ba2Na6Cd3 GGA-PBE relaxed
data_Ba2Na6Cd3
_space_group_name_H-M_alt 'P -6 2 m'
_space_group_IT_number 189
_space_group_name_Hall 'P -6 -2'
_cell_length_a 10.0764
_cell_length_b 10.0764
_cell_length_c 4.5930
_cell_angle_alpha 90.00
_cell_angle_beta 90.00
_cell_angle_gamma 120.00
loop_
_atom_site_label
_atom_site_fract_x
_atom_site_fract_y
_atom_site_fract_z
Ba1 0.3333 0.6667 0.0000
Na1 0.0000 0.2881 0.5000
Na2 0.0000 0.8018 0.0000
Cd1 0.0000 0.5946 0.5000
# ΔE_f = -0.0761 eV/atom
# Calculated volume = 36.72 Å³/atom
# M_tot = 0.00 μB per atom